Record 1
Tm8GaIr2 PBE-GGA optimized geometry; formation enthalpy at 0 K = -0.46 eV per atom; density of states at the Fermi level = 10.468 states/eV/f.u.; ρ = 10.4 g/cm3
1.0
4.2762 -6.4406 0.0000
4.2762 6.4406 0.0000
-1.3547 0.0000 5.2329
Tm Ga Ir
8 1 2
Direct
0.0000 0.0000 0.0000
0.0479 0.3082 0.6104
0.1403 0.6185 0.1960
0.3082 0.0479 0.6104
0.4489 0.7097 0.7855
0.6185 0.1403 0.1960
0.7097 0.4489 0.7855
0.7554 0.7554 0.3908
0.3792 0.3792 0.1760
0.0675 0.6893 0.6958
0.6893 0.0675 0.6958


Record 2
TmGaIr PBE-GGA optimized geometry; formation enthalpy at 0 K = -0.64 eV per atom; density of states at the Fermi level = 1.221 states/eV/f.u.; ρ = 13.0 g/cm3
1.0
-1.5935 1.5935 5.4180
1.5935 -1.5935 5.4180
1.5935 1.5935 -5.4180
Tm Ga Ir
1 1 1
Direct
0.0000 0.0000 0.0000
0.2992 0.2992 0.0000
0.6728 0.6728 0.0000


Which value of formation enthalpy at 0 K does entry 2 give? -0.64 eV per atom